Record 1
Density functional theory data (PBE) for a relaxed structure of Zn2SeBr.

Cell lengths 4.8587, 4.8587, 4.8587 Å; angles 60.00, 60.00, 60.00 degrees
Sites, in units of the cell vectors:
Zn: 0.2500 0.2500 0.2500
Zn: 0.7500 0.7500 0.7500
Se: 0.0000 0.0000 0.0000
Br: 0.5000 0.5000 0.5000

Output
The relative energy among the computed polymorphs is 0.396 eV/atom.



Record 2
Density functional theory data (PBE) for a relaxed structure of Li2TbDyTe4.

Cell lengths 7.4922, 4.3524, 7.5310 Å; angles 90.00, 109.53, 90.00 degrees
Sites, in units of the cell vectors:
Li: 0.0000 0.0000 0.0000
Li: 0.0000 0.5000 0.5000
Tb: 0.5000 0.0000 0.5000
Dy: 0.5000 0.5000 0.0000
Te: 0.2440 0.5000 0.2474
Te: 0.2445 0.0000 0.7494
Te: 0.7555 0.0000 0.2506
Te: 0.7560 0.5000 0.7526



no.,formation energy (no corrections) (eV per atom)
1,0.035
2,-1.294